No. 1
Ce4Sb3C: relaxed, PBE.

The structure in POSCAR format:
```
Ce4Sb3C
1.0
6.2968 0.0000 0.0000
0.0000 6.2977 0.0000
0.0000 0.0000 12.1136
Ce Sb C
8 6 2
Direct
0.0594 0.8134 0.0000
0.6305 0.2436 0.0000
0.0685 0.2509 0.2109
0.5685 0.7491 0.2891
0.1305 0.7564 0.5000
0.5594 0.1866 0.5000
0.5685 0.7491 0.7109
0.0685 0.2509 0.7891
0.5593 0.7444 0.0000
0.0656 0.7484 0.2499
0.5656 0.2516 0.2501
0.0593 0.2556 0.5000
0.5656 0.2516 0.7499
0.0656 0.7484 0.7501
0.9980 0.1813 0.0000
0.4980 0.8187 0.5000
```

Properties
For the formation energy (no corrections), the calculation gives -0.650 eV per atom. The theoretical density comes out at 6.483 g/cm3. As for the space group: No. 31.



No. 2
Y2SnBS: relaxed, PBE.

The structure in POSCAR format:
```
Y2SnBS
1.0
-1.7797 -4.4964 1.8725
4.5810 -2.2225 -0.9829
1.3265 1.0556 3.7954
Y S B Sn
2 1 1 1
Direct
0.0000 0.5000 0.0000
0.5000 0.0000 0.0000
0.5000 0.5000 0.5000
0.0000 0.0000 0.0000
0.0000 0.0000 0.5000
```

Properties
For the formation energy (no corrections), the calculation gives -0.383 eV per atom. The theoretical density comes out at 5.042 g/cm3. As for the space group: No. 123.



No. 3
MgZn2InHg: relaxed, PBE.

The structure in POSCAR format:
```
MgZn2InHg
1.0
-0.6003 -2.3816 4.6177
5.3132 1.0795 1.2475
-1.4301 4.5446 2.1580
Mg Zn Hg In
1 2 1 1
Direct
0.5000 0.5000 0.5000
0.0000 0.0000 0.5000
0.5000 0.0000 0.0000
0.0000 0.5000 0.0000
0.0000 0.0000 0.0000
```

Properties
The energy relative to the elements comes out at 0.42 eV per atom. The theoretical density comes out at 5.134 g/cm3. As for the space group: No. 123.